No. 1
DFT (meta-GGA SCAN) results for a PBEsol-optimized structure of MgTaBiO5.

Geometry as CIF:
```
data_MgTaBiO5
_chemical_formula_sum 'Mg8 Ta8 Bi8 O40'
_cell_length_a 5.281
_cell_length_b 9.889
_cell_length_c 15.588
_cell_angle_alpha 90.00
_cell_angle_beta 90.00
_cell_angle_gamma 90.00
_symmetry_space_group_name_H-M 'P 1'
_symmetry_Int_Tables_number 1
_symmetry_space_group_name_Hall 'P 1'
loop_
_atom_site_label
_atom_site_fract_x
_atom_site_fract_y
_atom_site_fract_z
_atom_site_occupancy
Mg1 0.510 0.652 0.582 1
Mg2 0.010 0.848 0.582 1
Mg3 0.010 0.348 0.918 1
Mg4 0.990 0.652 0.082 1
Mg5 0.490 0.848 0.082 1
Mg6 0.990 0.152 0.418 1
Mg7 0.490 0.348 0.418 1
Mg8 0.510 0.152 0.918 1
Ta1 0.934 0.617 0.435 1
Ta2 0.566 0.117 0.565 1
Ta3 0.066 0.383 0.565 1
Ta4 0.434 0.883 0.435 1
Ta5 0.066 0.883 0.935 1
Ta6 0.934 0.117 0.065 1
Ta7 0.566 0.617 0.935 1
Ta8 0.434 0.383 0.065 1
Bi1 0.078 0.133 0.753 1
Bi2 0.922 0.867 0.247 1
Bi3 0.422 0.633 0.247 1
Bi4 0.922 0.367 0.253 1
Bi5 0.578 0.867 0.747 1
Bi6 0.578 0.367 0.753 1
Bi7 0.422 0.133 0.253 1
Bi8 0.078 0.633 0.747 1
O1 0.052 0.690 0.326 1
O2 0.812 0.021 0.952 1
O3 0.688 0.521 0.048 1
O4 0.778 0.224 0.833 1
O5 0.722 0.724 0.167 1
O6 0.052 0.190 0.174 1
O7 0.722 0.224 0.333 1
O8 0.448 0.190 0.674 1
O9 0.812 0.521 0.548 1
O10 0.948 0.310 0.674 1
O11 0.448 0.690 0.826 1
O12 0.226 0.741 0.490 1
O13 0.312 0.979 0.548 1
O14 0.222 0.276 0.333 1
O15 0.699 0.006 0.127 1
O16 0.312 0.479 0.952 1
O17 0.948 0.810 0.826 1
O18 0.278 0.776 0.667 1
O19 0.726 0.259 0.010 1
O20 0.688 0.021 0.452 1
O21 0.774 0.259 0.510 1
O22 0.301 0.994 0.873 1
O23 0.222 0.776 0.167 1
O24 0.199 0.994 0.373 1
O25 0.774 0.759 0.990 1
O26 0.726 0.759 0.490 1
O27 0.188 0.479 0.452 1
O28 0.188 0.979 0.048 1
O29 0.199 0.494 0.127 1
O30 0.274 0.241 0.510 1
O31 0.274 0.741 0.990 1
O32 0.226 0.241 0.010 1
O33 0.301 0.494 0.627 1
O34 0.278 0.276 0.833 1
O35 0.778 0.724 0.667 1
O36 0.699 0.506 0.373 1
O37 0.801 0.506 0.873 1
O38 0.552 0.810 0.326 1
O39 0.801 0.006 0.627 1
O40 0.552 0.310 0.174 1
```

Results
For the density of states at the Fermi level, the calculation gives 0.0 states/eV per cell. Its space group is Pbca (61). The value obtained for the formation energy without anion corrections is -2.4686 eV per atom. The total DFT energy (no corrections) is -25.130 eV per atom. Its total magnetic moment is 0.000 Bohr magnetons per cell. The value obtained for the relative energy among the computed polymorphs is 0.0 meV/atom.

=====

No. 2
DFT (meta-GGA SCAN) results for a PBEsol-optimized structure of MgTaBiO5.

Geometry as CIF:
```
data_MgTaBiO5
_chemical_formula_sum 'Mg4 Ta4 Bi4 O20'
_cell_length_a 5.332
_cell_length_b 8.310
_cell_length_c 11.393
_cell_angle_alpha 90.00
_cell_angle_beta 90.00
_cell_angle_gamma 106.18
_symmetry_space_group_name_H-M 'P 1'
_symmetry_Int_Tables_number 1
_symmetry_space_group_name_Hall 'P 1'
loop_
_atom_site_label
_atom_site_fract_x
_atom_site_fract_y
_atom_site_fract_z
_atom_site_occupancy
Mg1 0.623 0.152 0.909 1
Mg2 0.377 0.848 0.091 1
Mg3 0.877 0.348 0.409 1
Mg4 0.123 0.652 0.591 1
Ta1 0.809 0.947 0.621 1
Ta2 0.191 0.053 0.379 1
Ta3 0.691 0.553 0.121 1
Ta4 0.309 0.447 0.879 1
Bi1 0.097 0.158 0.101 1
Bi2 0.903 0.842 0.899 1
Bi3 0.597 0.658 0.399 1
Bi4 0.403 0.342 0.601 1
O1 0.491 0.353 0.044 1
O2 0.995 0.314 0.946 1
O3 0.500 0.685 0.187 1
O4 0.764 0.514 0.524 1
O5 0.781 0.481 0.267 1
O6 0.281 0.981 0.233 1
O7 0.495 0.814 0.554 1
O8 0.505 0.186 0.446 1
O9 0.236 0.486 0.476 1
O10 0.009 0.147 0.544 1
O11 0.219 0.519 0.733 1
O12 0.509 0.647 0.956 1
O13 0.991 0.853 0.456 1
O14 0.719 0.019 0.767 1
O15 0.736 0.986 0.024 1
O16 0.264 0.014 0.976 1
O17 0.500 0.315 0.813 1
O18 0.005 0.686 0.054 1
O19 0.000 0.815 0.687 1
O20 0.000 0.185 0.313 1
```

Results
For the density of states at the Fermi level, the calculation gives 0.0 states/eV per cell. Its space group is P2_1/c (14). The value obtained for the formation energy without anion corrections is -2.4224 eV per atom. The total DFT energy (no corrections) is -25.084 eV per atom. Its total magnetic moment is 0.000 Bohr magnetons per cell. The value obtained for the relative energy among the computed polymorphs is 46.3 meV/atom.

=====

No. 3
DFT (meta-GGA SCAN) results for a PBEsol-optimized structure of MgTiBi2O6.

Geometry as CIF:
```
data_MgTiBi2O6
_chemical_formula_sum 'Mg1 Ti1 Bi2 O6'
_cell_length_a 5.572
_cell_length_b 5.572
_cell_length_c 5.627
_cell_angle_alpha 60.32
_cell_angle_beta 60.32
_cell_angle_gamma 60.00
_symmetry_space_group_name_H-M 'P 1'
_symmetry_Int_Tables_number 1
_symmetry_space_group_name_Hall 'P 1'
loop_
_atom_site_label
_atom_site_fract_x
_atom_site_fract_y
_atom_site_fract_z
_atom_site_occupancy
Mg1 0.786 0.786 0.641 1
Bi1 0.507 0.507 0.480 1
Bi2 0.013 0.013 0.962 1
O1 0.121 0.559 0.336 1
O2 0.559 0.985 0.336 1
O3 0.985 0.121 0.336 1
O4 0.082 0.621 0.842 1
O5 0.621 0.455 0.842 1
O6 0.455 0.082 0.842 1
Ti1 0.285 0.285 0.144 1
```

Results
For the density of states at the Fermi level, the calculation gives 0.0 states/eV per cell. Its space group is R3 (146). The value obtained for the formation energy without anion corrections is -2.1929 eV per atom. The total DFT energy (no corrections) is -23.748 eV per atom. Its total magnetic moment is 0.000 Bohr magnetons per cell.

=====

No. 4
DFT (meta-GGA SCAN) results for a PBEsol-optimized structure of Mg2SiBiOs.

Geometry as CIF:
```
data_Mg2SiBiOs
_chemical_formula_sum 'Mg2 Si1 Bi1 Os1'
_cell_length_a 4.721
_cell_length_b 4.721
_cell_length_c 5.304
_cell_angle_alpha 90.00
_cell_angle_beta 90.00
_cell_angle_gamma 90.00
_symmetry_space_group_name_H-M 'P 1'
_symmetry_Int_Tables_number 1
_symmetry_space_group_name_Hall 'P 1'
loop_
_atom_site_label
_atom_site_fract_x
_atom_site_fract_y
_atom_site_fract_z
_atom_site_occupancy
Mg1 0.000 0.500 0.000 1
Mg2 0.500 0.000 0.000 1
Si1 0.000 0.000 0.000 1
Os1 0.500 0.500 0.500 1
Bi1 0.000 0.000 0.500 1
```

Results
For the density of states at the Fermi level, the calculation gives 3.6 states/eV per cell. Its space group is P4/mmm (123). The value obtained for the formation energy without anion corrections is 1.3050 eV per atom. The total DFT energy (no corrections) is -32.780 eV per atom. Its total magnetic moment is 1.631 Bohr magnetons per cell.

=====

No. 5
DFT (meta-GGA SCAN) results for a PBEsol-optimized structure of MgBiP2.

Geometry as CIF:
```
data_MgBiP2
_chemical_formula_sum 'Mg2 Bi2 P4'
_cell_length_a 5.967
_cell_length_b 5.967
_cell_length_c 7.491
_cell_angle_alpha 113.47
_cell_angle_beta 113.47
_cell_angle_gamma 90.00
_symmetry_space_group_name_H-M 'P 1'
_symmetry_Int_Tables_number 1
_symmetry_space_group_name_Hall 'P 1'
loop_
_atom_site_label
_atom_site_fract_x
_atom_site_fract_y
_atom_site_fract_z
_atom_site_occupancy
P1 0.852 0.375 0.250 1
P2 0.398 0.875 0.250 1
P3 0.625 0.602 0.750 1
P4 0.125 0.148 0.750 1
Mg1 0.750 0.250 0.500 1
Mg2 0.500 0.500 0.000 1
Bi1 0.250 0.750 0.500 1
Bi2 0.000 0.000 0.000 1
```

Results
For the density of states at the Fermi level, the calculation gives 6.2 states/eV per cell. As for the formation energy from the elements: -0.09 eV/f.u. Its space group is I-42d (122). The total DFT energy (no corrections) is -26.110 eV per atom. Its total magnetic moment is 0.001 Bohr magnetons per cell.

=====

No. 6
DFT (meta-GGA SCAN) results for a PBEsol-optimized structure of SrMgBiPb2.

Geometry as CIF:
```
data_SrMgBiPb2
_chemical_formula_sum 'Sr1 Mg1 Bi1 Pb2'
_cell_length_a 5.337
_cell_length_b 5.337
_cell_length_c 6.015
_cell_angle_alpha 90.00
_cell_angle_beta 90.00
_cell_angle_gamma 90.00
_symmetry_space_group_name_H-M 'P 1'
_symmetry_Int_Tables_number 1
_symmetry_space_group_name_Hall 'P 1'
loop_
_atom_site_label
_atom_site_fract_x
_atom_site_fract_y
_atom_site_fract_z
_atom_site_occupancy
Pb1 0.000 0.500 0.000 1
Pb2 0.500 0.000 0.000 1
Sr1 0.000 0.000 0.500 1
Mg1 0.000 0.000 0.000 1
Bi1 0.500 0.500 0.500 1
```

Results
For the density of states at the Fermi level, the calculation gives 2.9 states/eV per cell. As for the formation energy from the elements: 0.48 eV/f.u. Its space group is P4/mmm (123). The total DFT energy (no corrections) is -51.383 eV per atom. Its total magnetic moment is 0.000 Bohr magnetons per cell.